Record 1
DFT (PBE-GGA) results for a relaxed Pr3ScZn8 crystal.

a = 9.5522 Å, b = 9.5522 Å, c = 9.5522 Å
α = 33.69°, β = 33.69°, γ = 33.69°
Atoms (fractional coordinates):
Pr 0.0000 0.0000 0.0000
Pr 0.1251 0.1251 0.1251
Pr 0.5010 0.5010 0.5010
Sc 0.6250 0.6250 0.6250
Zn 0.0559 0.5628 0.5628
Zn 0.0640 0.0640 0.5663
Zn 0.0640 0.5663 0.0640
Zn 0.3126 0.3126 0.3126
Zn 0.5628 0.0559 0.5628
Zn 0.5628 0.5628 0.0559
Zn 0.5663 0.0640 0.0640
Zn 0.8124 0.8124 0.8124

Record 2
DFT (PBE-GGA) results for a relaxed TbDy3Fe8 crystal.

a = 8.8927 Å, b = 8.8927 Å, c = 8.8927 Å
α = 33.52°, β = 33.52°, γ = 33.52°
Atoms (fractional coordinates):
Tb 0.0000 0.0000 0.0000
Dy 0.1251 0.1251 0.1251
Dy 0.5000 0.5000 0.5000
Dy 0.6251 0.6251 0.6251
Fe 0.0625 0.0625 0.5621
Fe 0.0625 0.5621 0.0625
Fe 0.0629 0.5626 0.5626
Fe 0.3125 0.3125 0.3125
Fe 0.5621 0.0625 0.0625
Fe 0.5626 0.0629 0.5626
Fe 0.5626 0.5626 0.0629
Fe 0.8126 0.8126 0.8126

Record 3
DFT (PBE-GGA) results for a relaxed YFeRu2 crystal.

Properties
ΔE to the lowest computed polymorph   100 meV/atom

a = 5.3990 Å, b = 5.3990 Å, c = 5.3990 Å
α = 145.69°, β = 130.57°, γ = 61.56°
Atoms (fractional coordinates):
Y 0.0000 0.0000 0.0000
Fe 0.2700 0.7700 0.5000
Ru 0.4987 0.4987 0.0000
Ru 0.7351 0.2351 0.5000

Record 4
DFT (PBE-GGA) results for a relaxed Y3HoCd crystal.

Properties
ΔE to the lowest computed polymorph   181 meV/atom

a = 10.4195 Å, b = 10.4195 Å, c = 8.1210 Å
α = 90.00°, β = 90.00°, γ = 158.98°
Atoms (fractional coordinates):
Y 0.0973 0.9027 0.5368
Y 0.0973 0.9027 0.9632
Y 0.3068 0.6932 0.7500
Y 0.6932 0.3068 0.2500
Y 0.9027 0.0973 0.0368
Y 0.9027 0.0973 0.4632
Ho 0.4796 0.5204 0.7500
Ho 0.5204 0.4796 0.2500
Cd 0.3135 0.6865 0.2500
Cd 0.6865 0.3135 0.7500

no.,raw total energy (eV/cell),total moment (μB per cell),formation energy (meV per atom)
1,-34.46,0.0,-300
2,-87.13,13.6,-82
3,-32.79,4.0,172
4,-49.35,0.7,42